# CeV2IO9

A PBEsol-optimized structure of CeV2IO9 (meta-GGA SCAN, the Alexandria database).

The structure belongs to space group Pbcm (No. 57); the cell edges are 6.897, 14.302 and 7.177 Å and the angles 90.00°, 90.00° and 90.00°. The distinct sites, in fractional coordinates, are Ce at (0.151, 0.047, 0.250), V at (0.178, 0.729, 0.750), V at (0.463, 0.250, 0.000), I at (0.294, 0.061, 0.750), O at (0.007, 0.690, 0.250), O at (0.073, 0.624, 0.750), O at (0.172, 0.511, 0.070), O at (0.258, 0.750, 0.000), O at (0.327, 0.154, 0.044), O at (0.468, 0.507, 0.750) and O at (0.470, 0.720, 0.750).

The value obtained for the density of states at the Fermi level is 0.516 states/eV/atom. The uncorrected formation energy is -2.257 eV per atom.